# LaSc2W

A relaxed structure of LaSc2W (PBE, Alexandria via LeMat-Bulk).

Cell and atoms, written as POSCAR:
```
LaSc2W
1.0
3.283 0.000 0.000
0.000 3.283 0.000
0.000 0.000 9.111
La Sc W
1 2 1
direct
0.000 0.000 0.000
0.500 0.500 0.315
0.500 0.500 0.685
0.000 0.000 0.500
```

Summary:
Formation energy: 25.45 kJ/mol of atoms
ρ: 6.98 g/cm3
Energy: -7.37 eV/atom